Below is a relaxed structure of SbSe3, with properties calculated at the PBE level.

Cell lengths 7.7241, 7.7241, 3.8576 Å; angles 90.00, 90.00, 120.00 degrees
Fractional coordinates of all 8 atoms:
1 Sb 0.3333 0.6667 0.2500
2 Sb 0.6667 0.3333 0.7500
3 Se 0.8263 0.6525 0.2500
4 Se 0.3475 0.1737 0.2500
5 Se 0.8263 0.1737 0.2500
6 Se 0.1737 0.3475 0.7500
7 Se 0.6525 0.8263 0.7500
8 Se 0.1737 0.8263 0.7500

Values from the calculation:
For the polymorph energy (0 for the lowest one), the calculation gives 140 meV per atom. The calculation puts the density of states at the Fermi level at 0.861 states/eV/atom. Its calculated volume is 24.9 A^3/atom. As for the crystal system: hexagonal. The space group is No. 194. The formation energy without anion corrections comes out at 0.161 eV per atom.

Below is a relaxed structure of SbSe2, with properties calculated at the PBE level.

Cell lengths 5.3886, 5.3886, 2.9192 Å; angles 90.00, 90.00, 120.00 degrees
Fractional coordinates of all 3 atoms:
1 Sb 0.0000 0.0000 0.0000
2 Se 0.3333 0.6667 0.9989
3 Se 0.6667 0.3333 0.0011

Values from the calculation:
The calculation puts the density of states at the Fermi level at 0.495 states/eV/atom. Its calculated volume is 24.5 A^3/atom. As for the crystal system: hexagonal. The space group is No. 191. The formation energy without anion corrections comes out at 0.189 eV per atom.

Below is a relaxed structure of Sb2Se, with properties calculated at the PBE level.

Cell lengths 4.4205, 4.4205, 4.5388 Å; angles 90.00, 90.00, 90.00 degrees
Fractional coordinates of all 3 atoms:
1 Sb 0.0000 0.5000 0.5000
2 Sb 0.5000 0.0000 0.5000
3 Se 0.0000 0.0000 0.0000

Values from the calculation:
The calculation puts the density of states at the Fermi level at 0.403 states/eV/atom. Its calculated volume is 29.6 A^3/atom. As for the crystal system: tetragonal. The space group is No. 123. The formation energy without anion corrections comes out at 0.185 eV per atom.

Below is a relaxed structure of Sb3Se, with properties calculated at the PBE level.

Cell lengths 5.9490, 5.9490, 5.9490 Å; angles 90.00, 90.00, 90.00 degrees
Fractional coordinates of all 8 atoms:
1 Sb 0.7500 0.5000 0.0000
2 Sb 0.2500 0.5000 0.0000
3 Sb 0.0000 0.7500 0.5000
4 Sb 0.0000 0.2500 0.5000
5 Sb 0.5000 0.0000 0.2500
6 Sb 0.5000 0.0000 0.7500
7 Se 0.0000 0.0000 0.0000
8 Se 0.5000 0.5000 0.5000

Values from the calculation:
For the polymorph energy (0 for the lowest one), the calculation gives 418 meV per atom. The calculation puts the density of states at the Fermi level at 0.858 states/eV/atom. Its calculated volume is 26.3 A^3/atom. As for the crystal system: cubic. The space group is No. 223. The formation energy without anion corrections comes out at 0.407 eV per atom.

Below is a relaxed structure of SbSe3, with properties calculated at the PBE level.

Cell lengths 6.6351, 6.6351, 4.8582 Å; angles 70.38, 70.38, 34.13 degrees
Fractional coordinates of all 4 atoms:
1 Sb 0.0000 0.0000 0.0000
2 Se 0.5000 0.5000 0.5000
3 Se 0.6722 0.6722 0.6889
4 Se 0.3278 0.3278 0.3111

Values from the calculation:
For the polymorph energy (0 for the lowest one), the calculation gives 78 meV per atom. The calculation puts the density of states at the Fermi level at 0.498 states/eV/atom. Its calculated volume is 28.1 A^3/atom. As for the crystal system: monoclinic. The space group is No. 12. The formation energy without anion corrections comes out at 0.100 eV per atom.

Below is a relaxed structure of Sb2Se, with properties calculated at the PBE level.

Cell lengths 6.8364, 6.8364, 5.9718 Å; angles 90.00, 90.00, 143.17 degrees
Fractional coordinates of all 6 atoms:
1 Sb 0.8286 0.1714 0.7500
2 Sb 0.4877 0.5123 0.7500
3 Sb 0.1714 0.8286 0.2500
4 Sb 0.5123 0.4877 0.2500
5 Se 0.1597 0.8403 0.7500
6 Se 0.8403 0.1597 0.2500

Values from the calculation:
The calculation puts the density of states at the Fermi level at 0.595 states/eV/atom. Its calculated volume is 27.9 A^3/atom. As for the crystal system: orthorhombic. The space group is No. 63. The formation energy without anion corrections comes out at -0.023 eV per atom.

Below is a relaxed structure of SbSe5, with properties calculated at the PBE level.

Cell lengths 6.8510, 6.8510, 3.8826 Å; angles 90.00, 90.00, 111.30 degrees
Fractional coordinates of all 6 atoms:
1 Sb 0.0000 0.0000 0.0000
2 Se 0.8281 0.1719 0.5000
3 Se 0.6567 0.3433 0.0000
4 Se 0.5000 0.5000 0.5000
5 Se 0.3433 0.6567 0.0000
6 Se 0.1719 0.8281 0.5000

Values from the calculation:
For the polymorph energy (0 for the lowest one), the calculation gives 148 meV per atom. The calculation puts the density of states at the Fermi level at 0.646 states/eV/atom. Its calculated volume is 28.3 A^3/atom. As for the crystal system: orthorhombic. The space group is No. 65. The formation energy without anion corrections comes out at 0.208 eV per atom.

Below is a relaxed structure of SbSe3, with properties calculated at the PBE level.

Cell lengths 3.8698, 3.8377, 7.4971 Å; angles 90.00, 90.00, 90.00 degrees
Fractional coordinates of all 4 atoms:
1 Sb 0.0000 0.0000 0.0392
2 Se 0.5000 0.0000 0.3678
3 Se 0.5000 0.5000 0.8886
4 Se 0.0000 0.5000 0.3711

Values from the calculation:
For the polymorph energy (0 for the lowest one), the calculation gives 13 meV per atom. The calculation puts the density of states at the Fermi level at 0.469 states/eV/atom. Its calculated volume is 27.8 A^3/atom. As for the crystal system: orthorhombic. The space group is No. 25. The formation energy without anion corrections comes out at 0.034 eV per atom.

Below is a relaxed structure of SbSe3, with properties calculated at the PBE level.

Cell lengths 5.6406, 5.6406, 5.6406 Å; angles 90.00, 90.00, 90.00 degrees
Each line ends with the local moment (μB).
Fractional coordinates of all 8 atoms:
1 Sb 0.0000 0.0000 0.0000  -0.01
2 Sb 0.5000 0.5000 0.5000  -0.01
3 Se 0.7500 0.5000 0.0000  0.06
4 Se 0.2500 0.5000 0.0000  0.06
5 Se 0.0000 0.7500 0.5000  0.06
6 Se 0.0000 0.2500 0.5000  0.06
7 Se 0.5000 0.0000 0.2500  0.06
8 Se 0.5000 0.0000 0.7500  0.06

Values from the calculation:
For the polymorph energy (0 for the lowest one), the calculation gives 308 meV per atom. The calculation puts the density of states at the Fermi level at 1.654 states/eV/atom. Its calculated volume is 22.4 A^3/atom. As for the crystal system: cubic. The space group is No. 223. The formation energy without anion corrections comes out at 0.329 eV per atom.

Below is a relaxed structure of Sb2Se, with properties calculated at the PBE level.

Cell lengths 6.1258, 6.1258, 6.1258 Å; angles 60.00, 60.00, 60.00 degrees
Fractional coordinates of all 6 atoms:
1 Sb 0.6250 0.1250 0.1250
2 Sb 0.1250 0.6250 0.1250
3 Sb 0.1250 0.1250 0.6250
4 Sb 0.1250 0.1250 0.1250
5 Se 0.5000 0.5000 0.5000
6 Se 0.7500 0.7500 0.7500

Values from the calculation:
The calculation puts the density of states at the Fermi level at 0.963 states/eV/atom. Its calculated volume is 27.1 A^3/atom. As for the crystal system: cubic. The space group is No. 227. The formation energy without anion corrections comes out at 0.494 eV per atom.

Below is a relaxed structure of Sb3Se4, with properties calculated at the PBE level.

Cell lengths 12.3642, 12.3642, 12.3642 Å; angles 161.33, 161.33, 26.52 degrees
Fractional coordinates of all 7 atoms:
1 Sb 0.0000 0.0000 0.0000
2 Sb 0.6746 0.6746 0.0000
3 Sb 0.3254 0.3254 0.0000
4 Se 0.8142 0.8142 0.0000
5 Se 0.1858 0.1858 0.0000
6 Se 0.5625 0.5625 0.0000
7 Se 0.4375 0.4375 0.0000

Values from the calculation:
The calculation puts the density of states at the Fermi level at 0.468 states/eV/atom. Its calculated volume is 27.7 A^3/atom. As for the crystal system: tetragonal. The space group is No. 139. The formation energy without anion corrections comes out at -0.057 eV per atom.

Below is a relaxed structure of Sb3Se, with properties calculated at the PBE level.

Cell lengths 4.0369, 4.0313, 6.9155 Å; angles 90.00, 90.00, 90.00 degrees
Fractional coordinates of all 4 atoms:
1 Sb 0.0000 0.0000 0.0038
2 Sb 0.5000 0.0000 0.3424
3 Sb 0.5000 0.5000 0.8259
4 Se 0.0000 0.5000 0.4946

Values from the calculation:
For the polymorph energy (0 for the lowest one), the calculation gives 112 meV per atom. The calculation puts the density of states at the Fermi level at 0.420 states/eV/atom. Its calculated volume is 28.1 A^3/atom. As for the crystal system: orthorhombic. The space group is No. 25. The formation energy without anion corrections comes out at 0.101 eV per atom.